1.
VASP calculation (PBE) on a relaxed structure of Sc4Ta2P3C3.

Structure (CIF):
```
data_Sc4Ta2P3C3
_cell_length_a 10.0923
_cell_length_b 5.8535
_cell_length_c 12.4434
_cell_angle_alpha 90.00
_cell_angle_beta 105.89
_cell_angle_gamma 90.00
_symmetry_space_group_name_H-M 'C 1 2/c 1'
_symmetry_Int_Tables_number 15
_symmetry_space_group_name_Hall '-C 2yc'
loop_
_atom_site_label
_atom_site_type_symbol
_atom_site_fract_x
_atom_site_fract_y
_atom_site_fract_z
Sc1 Sc 0.1193 0.0792 0.1074
Sc2 Sc 0.2116 0.0872 0.3925
Ta1 Ta 0.0538 0.4144 0.9034
P1 P 0.0000 0.0965 0.7500
P2 P 0.1601 0.4239 0.2497
C1 C 0.0764 0.2704 0.5000
C2 C 0.2500 0.2500 0.0000
```



2.
VASP calculation (PBE) on a relaxed structure of TmScP2C4.

Structure (CIF):
```
data_TmScP2C4
_cell_length_a 3.5298
_cell_length_b 3.5298
_cell_length_c 8.6309
_cell_angle_alpha 90.00
_cell_angle_beta 90.00
_cell_angle_gamma 120.00
_symmetry_space_group_name_H-M 'P -3 m 1'
_symmetry_Int_Tables_number 164
_symmetry_space_group_name_Hall '-P 3 2"'
loop_
_atom_site_label
_atom_site_type_symbol
_atom_site_fract_x
_atom_site_fract_y
_atom_site_fract_z
Tm1 Tm 0.0000 0.0000 0.0000
Sc1 Sc 0.0000 0.0000 0.5000
P1 P 0.3333 0.6667 0.7426
C1 C 0.3333 0.6667 0.1649
C2 C 0.3333 0.6667 0.3471
```



3.
VASP calculation (PBE) on a relaxed structure of Sc4P3W2C3.

Structure (CIF):
```
data_Sc4P3W2C3
_cell_length_a 9.8832
_cell_length_b 5.7684
_cell_length_c 12.4315
_cell_angle_alpha 90.00
_cell_angle_beta 105.68
_cell_angle_gamma 90.00
_symmetry_space_group_name_H-M 'C 1 2/c 1'
_symmetry_Int_Tables_number 15
_symmetry_space_group_name_Hall '-C 2yc'
loop_
_atom_site_label
_atom_site_type_symbol
_atom_site_fract_x
_atom_site_fract_y
_atom_site_fract_z
Sc1 Sc 0.1192 0.0761 0.1079
Sc2 Sc 0.2095 0.0895 0.3918
P1 P 0.0000 0.1201 0.7500
P2 P 0.1502 0.4351 0.2495
W1 W 0.0584 0.4131 0.9136
C1 C 0.0792 0.2623 0.4998
C2 C 0.2500 0.2500 0.0000
```



4.
VASP calculation (PBE) on a relaxed structure of Sc2P3W4C3.

Structure (CIF):
```
data_Sc2P3W4C3
_cell_length_a 9.7870
_cell_length_b 5.7044
_cell_length_c 11.9148
_cell_angle_alpha 90.00
_cell_angle_beta 105.75
_cell_angle_gamma 90.00
_symmetry_space_group_name_H-M 'C 1 2/c 1'
_symmetry_Int_Tables_number 15
_symmetry_space_group_name_Hall '-C 2yc'
loop_
_atom_site_label
_atom_site_type_symbol
_atom_site_fract_x
_atom_site_fract_y
_atom_site_fract_z
Sc1 Sc 0.0457 0.0815 0.3911
P1 P 0.0000 0.4331 0.2500
P2 P 0.1756 0.0947 0.7497
W1 W 0.1135 0.4137 0.5924
W2 W 0.2204 0.4201 0.9078
C1 C 0.0839 0.2503 0.0003
C2 C 0.2500 0.2500 0.5000
```



5.
VASP calculation (PBE) on a relaxed structure of SiPW4C2.

Structure (CIF):
```
data_SiPW4C2
_cell_length_a 3.1563
_cell_length_b 3.1563
_cell_length_c 11.9952
_cell_angle_alpha 90.00
_cell_angle_beta 90.00
_cell_angle_gamma 120.00
_symmetry_space_group_name_H-M 'P -6 m 2'
_symmetry_Int_Tables_number 187
_symmetry_space_group_name_Hall 'P -6 2'
loop_
_atom_site_label
_atom_site_type_symbol
_atom_site_fract_x
_atom_site_fract_y
_atom_site_fract_z
Si1 Si 0.0000 0.0000 0.0000
P1 P 0.3333 0.6667 0.5000
W1 W 0.0000 0.0000 0.3504
W2 W 0.3333 0.6667 0.1599
C1 C 0.6667 0.3333 0.2533
```



6.
VASP calculation (PBE) on a relaxed structure of Zr4SiPC2.

Structure (CIF):
```
data_Zr4SiPC2
_cell_length_a 3.4002
_cell_length_b 3.4002
_cell_length_c 12.8717
_cell_angle_alpha 90.00
_cell_angle_beta 90.00
_cell_angle_gamma 120.00
_symmetry_space_group_name_H-M 'P -6 m 2'
_symmetry_Int_Tables_number 187
_symmetry_space_group_name_Hall 'P -6 2'
loop_
_atom_site_label
_atom_site_type_symbol
_atom_site_fract_x
_atom_site_fract_y
_atom_site_fract_z
Zr1 Zr 0.0000 0.0000 0.1397
Zr2 Zr 0.6667 0.3333 0.3396
Si1 Si 0.0000 0.0000 0.5000
P1 P 0.6667 0.3333 0.0000
C1 C 0.3333 0.6667 0.2413
```



7.
VASP calculation (PBE) on a relaxed structure of SnPW4C2.

Structure (CIF):
```
data_SnPW4C2
_cell_length_a 3.2433
_cell_length_b 3.2433
_cell_length_c 12.3337
_cell_angle_alpha 90.00
_cell_angle_beta 90.00
_cell_angle_gamma 120.00
_symmetry_space_group_name_H-M 'P -6 m 2'
_symmetry_Int_Tables_number 187
_symmetry_space_group_name_Hall 'P -6 2'
loop_
_atom_site_label
_atom_site_type_symbol
_atom_site_fract_x
_atom_site_fract_y
_atom_site_fract_z
Sn1 Sn 0.0000 0.0000 0.0000
P1 P 0.3333 0.6667 0.5000
W1 W 0.0000 0.0000 0.3641
W2 W 0.3333 0.6667 0.1883
C1 C 0.6667 0.3333 0.2651
```



8.
VASP calculation (PBE) on a relaxed structure of SnPW4C2.

Structure (CIF):
```
data_SnPW4C2
_cell_length_a 3.2433
_cell_length_b 3.2433
_cell_length_c 12.3336
_cell_angle_alpha 90.00
_cell_angle_beta 90.00
_cell_angle_gamma 120.00
_symmetry_space_group_name_H-M 'P -6 m 2'
_symmetry_Int_Tables_number 187
_symmetry_space_group_name_Hall 'P -6 2'
loop_
_atom_site_label
_atom_site_type_symbol
_atom_site_fract_x
_atom_site_fract_y
_atom_site_fract_z
Sn1 Sn 0.0000 0.0000 0.0000
P1 P 0.6667 0.3333 0.5000
W1 W 0.0000 0.0000 0.3641
W2 W 0.6667 0.3333 0.1883
C1 C 0.3333 0.6667 0.2651
```



9.
VASP calculation (PBE) on a relaxed structure of TaP2C.

Structure (CIF):
```
data_TaP2C
_cell_length_a 2.9433
_cell_length_b 2.9433
_cell_length_c 13.0407
_cell_angle_alpha 90.00
_cell_angle_beta 90.00
_cell_angle_gamma 120.00
_symmetry_space_group_name_H-M 'P 63/m m c'
_symmetry_Int_Tables_number 194
_symmetry_space_group_name_Hall '-P 6c 2c'
loop_
_atom_site_label
_atom_site_type_symbol
_atom_site_fract_x
_atom_site_fract_y
_atom_site_fract_z
Ta1 Ta 0.3333 0.6667 0.2500
P1 P 0.3333 0.6667 0.5966
C1 C 0.0000 0.0000 0.0000
```



10.
VASP calculation (PBE) on a relaxed structure of Ta3PC2.

Structure (CIF):
```
data_Ta3PC2
_cell_length_a 3.2044
_cell_length_b 3.2044
_cell_length_c 17.1327
_cell_angle_alpha 90.00
_cell_angle_beta 90.00
_cell_angle_gamma 120.00
_symmetry_space_group_name_H-M 'P 63/m m c'
_symmetry_Int_Tables_number 194
_symmetry_space_group_name_Hall '-P 6c 2c'
loop_
_atom_site_label
_atom_site_type_symbol
_atom_site_fract_x
_atom_site_fract_y
_atom_site_fract_z
Ta1 Ta 0.0000 0.0000 0.0000
Ta2 Ta 0.3333 0.6667 0.1478
P1 P 0.0000 0.0000 0.2500
C1 C 0.3333 0.6667 0.5747
```



11.
VASP calculation (PBE) on a relaxed structure of TaTe2PC.

Structure (CIF):
```
data_TaTe2PC
_cell_length_a 3.5219
_cell_length_b 3.5219
_cell_length_c 10.2933
_cell_angle_alpha 90.00
_cell_angle_beta 90.00
_cell_angle_gamma 120.00
_symmetry_space_group_name_H-M 'P 3 m 1'
_symmetry_Int_Tables_number 156
_symmetry_space_group_name_Hall 'P 3 -2"'
loop_
_atom_site_label
_atom_site_type_symbol
_atom_site_fract_x
_atom_site_fract_y
_atom_site_fract_z
Ta1 Ta 0.0000 0.0000 0.0000
Te1 Te 0.0000 0.0000 0.4093
Te2 Te 0.3333 0.6667 0.8037
P1 P 0.3333 0.6667 0.2433
C1 C 0.6667 0.3333 0.0760
```



12.
VASP calculation (PBE) on a relaxed structure of Ta4TlPC2.

Structure (CIF):
```
data_Ta4TlPC2
_cell_length_a 3.2616
_cell_length_b 3.2616
_cell_length_c 12.9649
_cell_angle_alpha 90.00
_cell_angle_beta 90.00
_cell_angle_gamma 120.00
_symmetry_space_group_name_H-M 'P -6 m 2'
_symmetry_Int_Tables_number 187
_symmetry_space_group_name_Hall 'P -6 2'
loop_
_atom_site_label
_atom_site_type_symbol
_atom_site_fract_x
_atom_site_fract_y
_atom_site_fract_z
Ta1 Ta 0.0000 0.0000 0.1334
Ta2 Ta 0.6667 0.3333 0.3120
Tl1 Tl 0.0000 0.0000 0.5000
P1 P 0.6667 0.3333 0.0000
C1 C 0.3333 0.6667 0.2275
```



13.
VASP calculation (PBE) on a relaxed structure of Ta4TlPC2.

Structure (CIF):
```
data_Ta4TlPC2
_cell_length_a 3.2616
_cell_length_b 3.2616
_cell_length_c 12.9648
_cell_angle_alpha 90.00
_cell_angle_beta 90.00
_cell_angle_gamma 120.00
_symmetry_space_group_name_H-M 'P -6 m 2'
_symmetry_Int_Tables_number 187
_symmetry_space_group_name_Hall 'P -6 2'
loop_
_atom_site_label
_atom_site_type_symbol
_atom_site_fract_x
_atom_site_fract_y
_atom_site_fract_z
Ta1 Ta 0.0000 0.0000 0.1334
Ta2 Ta 0.3333 0.6667 0.3120
Tl1 Tl 0.0000 0.0000 0.5000
P1 P 0.3333 0.6667 0.0000
C1 C 0.6667 0.3333 0.2275
```



14.
VASP calculation (PBE) on a relaxed structure of Ta4P3W2C3.

Structure (CIF):
```
data_Ta4P3W2C3
_cell_length_a 9.7882
_cell_length_b 5.6559
_cell_length_c 12.0113
_cell_angle_alpha 90.00
_cell_angle_beta 105.72
_cell_angle_gamma 90.00
_symmetry_space_group_name_H-M 'C 1 2/c 1'
_symmetry_Int_Tables_number 15
_symmetry_space_group_name_Hall '-C 2yc'
loop_
_atom_site_label
_atom_site_type_symbol
_atom_site_fract_x
_atom_site_fract_y
_atom_site_fract_z
Ta1 Ta 0.1173 0.0869 0.1017
Ta2 Ta 0.2177 0.0806 0.3983
P1 P 0.0000 0.1006 0.7500
P2 P 0.1582 0.4248 0.2501
W1 W 0.0513 0.4186 0.9091
C1 C 0.0858 0.2434 0.5000
C2 C 0.2500 0.2500 0.0000
```



15.
VASP calculation (PBE) on a relaxed structure of Ta2P3W4C3.

Structure (CIF):
```
data_Ta2P3W4C3
_cell_length_a 9.7134
_cell_length_b 5.6131
_cell_length_c 12.0103
_cell_angle_alpha 90.00
_cell_angle_beta 105.88
_cell_angle_gamma 90.00
_symmetry_space_group_name_H-M 'C 1 2/c 1'
_symmetry_Int_Tables_number 15
_symmetry_space_group_name_Hall '-C 2yc'
loop_
_atom_site_label
_atom_site_type_symbol
_atom_site_fract_x
_atom_site_fract_y
_atom_site_fract_z
Ta1 Ta 0.0535 0.0857 0.3974
P1 P 0.0000 0.4328 0.2500
P2 P 0.1743 0.0909 0.7499
W1 W 0.1171 0.4262 0.5930
W2 W 0.2139 0.4101 0.9055
C1 C 0.0795 0.2417 0.9997
C2 C 0.2500 0.2500 0.5000
```



16.
VASP calculation (PBE) on a relaxed structure of Zr4Ta2P3C3.

Structure (CIF):
```
data_Zr4Ta2P3C3
_cell_length_a 10.1641
_cell_length_b 5.8693
_cell_length_c 12.5232
_cell_angle_alpha 90.00
_cell_angle_beta 105.71
_cell_angle_gamma 90.00
_symmetry_space_group_name_H-M 'C 1 2/c 1'
_symmetry_Int_Tables_number 15
_symmetry_space_group_name_Hall '-C 2yc'
loop_
_atom_site_label
_atom_site_type_symbol
_atom_site_fract_x
_atom_site_fract_y
_atom_site_fract_z
Zr1 Zr 0.1187 0.0807 0.1056
Zr2 Zr 0.2132 0.0849 0.3944
Ta1 Ta 0.0523 0.4152 0.9027
P1 P 0.0000 0.0992 0.7500
P2 P 0.1585 0.4252 0.2494
C1 C 0.0803 0.2592 0.5000
C2 C 0.2500 0.2500 0.0000
```



17.
VASP calculation (PBE) on a relaxed structure of Zr4TlPC2.

Structure (CIF):
```
data_Zr4TlPC2
_cell_length_a 3.4264
_cell_length_b 3.4264
_cell_length_c 13.6697
_cell_angle_alpha 90.00
_cell_angle_beta 90.00
_cell_angle_gamma 120.00
_symmetry_space_group_name_H-M 'P -6 m 2'
_symmetry_Int_Tables_number 187
_symmetry_space_group_name_Hall 'P -6 2'
loop_
_atom_site_label
_atom_site_type_symbol
_atom_site_fract_x
_atom_site_fract_y
_atom_site_fract_z
Zr1 Zr 0.0000 0.0000 0.1313
Zr2 Zr 0.3333 0.6667 0.3157
Tl1 Tl 0.0000 0.0000 0.5000
P1 P 0.3333 0.6667 0.0000
C1 C 0.6667 0.3333 0.2282
```



18.
VASP calculation (PBE) on a relaxed structure of Zr4TlPC2.

Structure (CIF):
```
data_Zr4TlPC2
_cell_length_a 3.4252
_cell_length_b 3.4252
_cell_length_c 13.6645
_cell_angle_alpha 90.00
_cell_angle_beta 90.00
_cell_angle_gamma 120.00
_symmetry_space_group_name_H-M 'P -6 m 2'
_symmetry_Int_Tables_number 187
_symmetry_space_group_name_Hall 'P -6 2'
loop_
_atom_site_label
_atom_site_type_symbol
_atom_site_fract_x
_atom_site_fract_y
_atom_site_fract_z
Zr1 Zr 0.0000 0.0000 0.1320
Zr2 Zr 0.6667 0.3333 0.3162
Tl1 Tl 0.0000 0.0000 0.5000
P1 P 0.6667 0.3333 0.0000
C1 C 0.3333 0.6667 0.2286
```



19.
VASP calculation (PBE) on a relaxed structure of TmPC3.

Structure (CIF):
```
data_TmPC3
_cell_length_a 5.0202
_cell_length_b 5.0202
_cell_length_c 4.7095
_cell_angle_alpha 90.00
_cell_angle_beta 90.00
_cell_angle_gamma 120.00
_symmetry_space_group_name_H-M 'P 63/m m c'
_symmetry_Int_Tables_number 194
_symmetry_space_group_name_Hall '-P 6c 2c'
loop_
_atom_site_label
_atom_site_type_symbol
_atom_site_fract_x
_atom_site_fract_y
_atom_site_fract_z
Tm1 Tm 0.3333 0.6667 0.2500
P1 P 0.0000 0.0000 0.2500
C1 C 0.2295 0.4590 0.7500
```



20.
VASP calculation (PBE) on a relaxed structure of PW2C.

Structure (CIF):
```
data_PW2C
_cell_length_a 3.0861
_cell_length_b 3.0861
_cell_length_c 12.1472
_cell_angle_alpha 90.00
_cell_angle_beta 90.00
_cell_angle_gamma 120.00
_symmetry_space_group_name_H-M 'P 63/m m c'
_symmetry_Int_Tables_number 194
_symmetry_space_group_name_Hall '-P 6c 2c'
loop_
_atom_site_label
_atom_site_type_symbol
_atom_site_fract_x
_atom_site_fract_y
_atom_site_fract_z
P1 P 0.3333 0.6667 0.2500
W1 W 0.3333 0.6667 0.6056
C1 C 0.0000 0.0000 0.0000
```



| no. | E_tot (eV per atom) |
| --- | --- |
| 1 | -8.634 |
| 2 | -6.671 |
| 3 | -8.656 |
| 4 | -9.485 |
| 5 | -10.055 |
| 6 | -8.843 |
| 7 | -9.814 |
| 8 | -9.814 |
| 9 | -7.350 |
| 10 | -10.559 |
| 11 | -6.240 |
| 12 | -9.703 |
| 13 | -9.703 |
| 14 | -10.262 |
| 15 | -10.176 |
| 16 | -9.475 |
| 17 | -8.390 |
| 18 | -8.389 |
| 19 | -6.619 |
| 20 | -10.065 |